The following is a DFT calculation (PBE-GGA) of crystalline VRePdI2 at its relaxed geometry. Values from VASP.

Output
Total DFT energy (no corrections) = -20.63 eV for the cell shown
Uncorrected formation energy = 1.8463 eV/atom

Structure (Quantum ESPRESSO input):
```
&SYSTEM
  ibrav = 0, nat = 5, ntyp = 4
/
ATOMIC_SPECIES
I 126.90 I.upf
Re 186.21 Re.upf
Pd 106.42 Pd.upf
V 50.94 V.upf
ATOMIC_POSITIONS angstrom
I 0.0000 0.0000 2.6583
I 2.6583 0.0000 0.0000
Re 0.0000 2.5814 0.0000
Pd 0.0000 0.0000 0.0000
V 2.6583 2.5814 2.6583
CELL_PARAMETERS angstrom
5.3166 0.0000 0.0000
0.0000 5.1629 0.0000
0.0000 0.0000 5.3166
```

The following is a DFT calculation (PBE-GGA) of crystalline La2TaAgRu at its relaxed geometry. Values from VASP.

Output
Total DFT energy (no corrections) = -29.66 eV for the cell shown
E_form = 4.173 eV/f.u.

Structure (Quantum ESPRESSO input):
```
&SYSTEM
  ibrav = 0, nat = 5, ntyp = 4
/
ATOMIC_SPECIES
Ru 101.07 Ru.upf
La 138.91 La.upf
Ag 107.87 Ag.upf
Ta 180.95 Ta.upf
ATOMIC_POSITIONS angstrom
Ru 0.0000 0.0000 0.0000
La 0.0000 0.0000 2.5889
La 2.5889 0.0000 0.0000
Ag 0.0000 2.5882 0.0000
Ta 2.5889 2.5882 2.5889
CELL_PARAMETERS angstrom
5.1778 0.0000 0.0000
0.0000 5.1765 0.0000
0.0000 0.0000 5.1778
```

The following is a DFT calculation (PBE-GGA) of crystalline Cs2In3HgPb4 at its relaxed geometry. Values from VASP.

Output
Total DFT energy (no corrections) = -26.23 eV for the cell shown
E_form = -1.173 eV/f.u.

Structure (Quantum ESPRESSO input):
```
&SYSTEM
  ibrav = 0, nat = 10, ntyp = 4
/
ATOMIC_SPECIES
Cs 132.91 Cs.upf
In 114.82 In.upf
Hg 200.59 Hg.upf
Pb 207.20 Pb.upf
ATOMIC_POSITIONS angstrom
Cs 2.6974 0.0000 3.1940
Cs 0.0000 2.6974 9.2820
In 0.0000 0.0000 6.2380
In 2.6974 0.0000 10.8463
In 0.0000 2.6974 1.6297
Hg 2.6974 2.6974 6.2380
Pb 2.6974 2.6974 0.0000
Pb 0.0000 0.0000 0.0000
Pb 2.6974 0.0000 7.8031
Pb 0.0000 2.6974 4.6730
CELL_PARAMETERS angstrom
5.3947 0.0000 0.0000
0.0000 5.3947 0.0000
0.0000 0.0000 12.4760
```

The following is a DFT calculation (PBE-GGA) of crystalline HfZnCo3 at its relaxed geometry. Values from VASP.

Output
Total DFT energy (no corrections) = -25.80 eV for the cell shown
E_form = 6.741 eV/f.u.

Structure (Quantum ESPRESSO input):
```
&SYSTEM
  ibrav = 0, nat = 5, ntyp = 3
/
ATOMIC_SPECIES
Co 58.93 Co.upf
Zn 65.41 Zn.upf
Hf 178.49 Hf.upf
ATOMIC_POSITIONS angstrom
Co 0.0000 2.2541 0.0000
Co 0.0000 0.0000 2.2541
Co 2.2541 0.0000 0.0000
Zn 2.2541 2.2541 2.2541
Hf 0.0000 0.0000 0.0000
CELL_PARAMETERS angstrom
4.5083 0.0000 0.0000
0.0000 4.5083 0.0000
0.0000 0.0000 4.5083
```

The following is a DFT calculation (PBE-GGA) of crystalline HgPb2Au at its relaxed geometry. Values from VASP.

Output
Total DFT energy (no corrections) = -11.06 eV for the cell shown
E_form = -0.067 eV/f.u.

Structure (Quantum ESPRESSO input):
```
&SYSTEM
  ibrav = 0, nat = 4, ntyp = 3
/
ATOMIC_SPECIES
Pb 207.20 Pb.upf
Au 196.97 Au.upf
Hg 200.59 Hg.upf
ATOMIC_POSITIONS angstrom
Pb 0.0000 6.9373 5.5367
Pb 1.8735 2.0755 2.0154
Au 0.0000 4.4831 2.5047
Hg 1.8735 4.5197 4.7610
CELL_PARAMETERS angstrom
3.7470 0.0000 0.0000
0.0000 4.8491 -0.0177
0.0000 2.3571 5.9448
```

The following is a DFT calculation (PBE-GGA) of crystalline Nd2ScSb3 at its relaxed geometry. Values from VASP.

Output
Total DFT energy (no corrections) = -69.39 eV for the cell shown
Uncorrected formation energy = -1.0770 eV/atom

Structure (Quantum ESPRESSO input):
```
&SYSTEM
  ibrav = 0, nat = 12, ntyp = 3
/
ATOMIC_SPECIES
Nd 144.24 Nd.upf
Sc 44.96 Sc.upf
Sb 121.76 Sb.upf
ATOMIC_POSITIONS angstrom
Nd 5.5984 1.0152 2.5518
Nd -0.1991 4.2243 -1.2644
Nd -2.0893 5.2394 2.5518
Nd 1.6714 3.1730 2.5518
Sc -4.0514 6.3410 -1.2644
Sc 3.6334 2.0715 6.3679
Sb 0.7231 5.9026 3.9261
Sb -1.1411 2.5100 1.1775
Sb 4.4462 3.6786 3.9383
Sb 0.9202 1.5011 5.2026
Sb 2.7325 0.5598 1.1653
Sb 2.6799 4.7036 -0.0991
CELL_PARAMETERS angstrom
7.5440 -0.0304 -1.2644
-4.0706 6.3516 -1.2644
-0.0198 -0.0360 7.6323
```

The following is a DFT calculation (PBE-GGA) of crystalline ZrSc3Zn at its relaxed geometry. Values from VASP.

Output
Total DFT energy (no corrections) = -26.78 eV for the cell shown
E_form = 2.039 eV/f.u.

Structure (Quantum ESPRESSO input):
```
&SYSTEM
  ibrav = 0, nat = 5, ntyp = 3
/
ATOMIC_SPECIES
Sc 44.96 Sc.upf
Zn 65.41 Zn.upf
Zr 91.22 Zr.upf
ATOMIC_POSITIONS angstrom
Sc 1.7277 -0.9031 1.5821
Sc 0.9189 2.3148 0.3178
Sc -1.5730 0.3604 1.9234
Zn 0.0000 0.0000 0.0000
Zr 1.0737 1.7721 3.8234
CELL_PARAMETERS angstrom
-3.1460 0.7208 3.8469
3.4554 -1.8062 3.1643
1.8379 4.6296 0.6356
```

The following is a DFT calculation (PBE-GGA) of crystalline Li2CaGeH at its relaxed geometry. Values from VASP.

Output
Total DFT energy (no corrections) = -15.67 eV for the cell shown

Structure (Quantum ESPRESSO input):
```
&SYSTEM
  ibrav = 0, nat = 5, ntyp = 4
/
ATOMIC_SPECIES
H 1.01 H.upf
Ge 72.64 Ge.upf
Ca 40.08 Ca.upf
Li 6.94 Li.upf
ATOMIC_POSITIONS angstrom
H 0.0000 0.0000 0.0000
Ge 2.1113 2.1113 2.3539
Ca 0.0000 0.0000 2.3539
Li 0.0000 2.1113 0.0000
Li 2.1113 0.0000 0.0000
CELL_PARAMETERS angstrom
4.2226 0.0000 0.0000
0.0000 4.2226 0.0000
0.0000 0.0000 4.7077
```

The following is a DFT calculation (PBE-GGA) of crystalline Ca2UBiO6 at its relaxed geometry. Values from VASP.

Output
Total DFT energy (no corrections) = -73.39 eV for the cell shown
Uncorrected formation energy = -2.4472 eV/atom

Structure (Quantum ESPRESSO input):
```
&SYSTEM
  ibrav = 0, nat = 10, ntyp = 4
/
ATOMIC_SPECIES
Ca 40.08 Ca.upf
U 238.03 U.upf
Bi 208.98 Bi.upf
O 16.00 O.upf
ATOMIC_POSITIONS angstrom
Ca -2.1103 -5.0114 0.1511
Ca -1.0306 -3.4485 4.0787
U -2.0460 -1.7727 1.2678
Bi 1.0578 -4.8220 1.6280
O -0.8560 -3.4710 1.6165
O 1.2792 -4.3012 3.9013
O 2.6092 -3.4778 0.6666
O -0.5600 -0.4852 0.3470
O 2.2820 -6.7706 2.0669
O 0.1468 -5.9403 -0.2179
CELL_PARAMETERS angstrom
-3.1290 -2.7110 1.9389
1.9123 -4.7091 -3.4982
4.0717 -1.5832 4.3571
```

The following is a DFT calculation (PBE-GGA) of crystalline Ac3Nd12Y at its relaxed geometry. Values from VASP.

Output
Total DFT energy (no corrections) = -75.64 eV for the cell shown
E_form = 0.366 eV/f.u.

Structure (Quantum ESPRESSO input):
```
&SYSTEM
  ibrav = 0, nat = 16, ntyp = 3
/
ATOMIC_SPECIES
Ac 227.00 Ac.upf
Nd 144.24 Nd.upf
Y 88.91 Y.upf
ATOMIC_POSITIONS angstrom
Ac 0.0000 0.0000 5.2115
Ac 0.0000 0.0000 10.5347
Ac 0.0000 0.0000 15.8578
Nd 2.6410 2.6410 0.0000
Nd 2.6410 2.6410 5.1903
Nd 2.6410 2.6410 10.5347
Nd 2.6410 2.6410 15.8791
Nd 2.6410 0.0000 2.5332
Nd 2.6410 0.0000 7.8759
Nd 2.6410 0.0000 13.1935
Nd 2.6410 0.0000 18.5362
Nd 0.0000 2.6410 2.5332
Nd 0.0000 2.6410 7.8759
Nd 0.0000 2.6410 13.1935
Nd 0.0000 2.6410 18.5362
Y 0.0000 0.0000 0.0000
CELL_PARAMETERS angstrom
5.2820 0.0000 0.0000
0.0000 5.2820 0.0000
0.0000 0.0000 21.0694
```

The following is a DFT calculation (PBE-GGA) of crystalline TiNb4Tc at its relaxed geometry. Values from VASP.

Output
Total DFT energy (no corrections) = -59.43 eV for the cell shown
E_form = -0.895 eV/f.u.

Structure (Quantum ESPRESSO input):
```
&SYSTEM
  ibrav = 0, nat = 6, ntyp = 3
/
ATOMIC_SPECIES
Ti 47.87 Ti.upf
Nb 92.91 Nb.upf
Tc 98.00 Tc.upf
ATOMIC_POSITIONS angstrom
Ti 0.7847 2.2817 3.9976
Nb 2.9149 0.0462 4.9079
Nb 2.9016 4.5172 4.9383
Nb 3.5872 2.2199 3.3652
Nb 2.2293 2.3436 6.4809
Tc 0.0000 0.0000 0.0000
CELL_PARAMETERS angstrom
4.2471 0.0000 1.8508
1.4082 4.5550 2.5669
0.1612 0.0084 5.4284
```

The following is a DFT calculation (PBE-GGA) of crystalline Zr2PtCl at its relaxed geometry. Values from VASP.

Output
Total DFT energy (no corrections) = -27.88 eV for the cell shown
Uncorrected formation energy = -0.7242 eV/atom

Structure (Quantum ESPRESSO input):
```
&SYSTEM
  ibrav = 0, nat = 4, ntyp = 3
/
ATOMIC_SPECIES
Cl 35.45 Cl.upf
Pt 195.08 Pt.upf
Zr 91.22 Zr.upf
ATOMIC_POSITIONS angstrom
Cl 0.7035 5.8601 2.7140
Pt -0.4350 2.7571 1.3108
Zr -2.9684 9.7240 4.6865
Zr -0.0733 7.9997 3.7506
CELL_PARAMETERS angstrom
-1.8415 5.5814 0.8795
-1.7098 4.1880 3.8541
4.0701 1.2783 0.4187
```

The following is a DFT calculation (PBE-GGA) of crystalline SbPbCl2 at its relaxed geometry. Values from VASP.

Output
Total DFT energy (no corrections) = -13.57 eV for the cell shown
Uncorrected formation energy = -0.5110 eV/atom

Structure (Quantum ESPRESSO input):
```
&SYSTEM
  ibrav = 0, nat = 4, ntyp = 3
/
ATOMIC_SPECIES
Pb 207.20 Pb.upf
Sb 121.76 Sb.upf
Cl 35.45 Cl.upf
ATOMIC_POSITIONS angstrom
Pb -0.3061 2.0410 2.9072
Sb -1.8321 5.1427 2.3011
Cl 0.1374 0.3999 0.5312
Cl -1.6972 3.2730 -0.3338
CELL_PARAMETERS angstrom
-0.6833 4.8907 -3.5054
-3.1200 0.7742 1.6884
1.1102 3.2030 4.2524
```

The following is a DFT calculation (PBE-GGA) of crystalline FeMo at its relaxed geometry. Values from VASP.

Output
Total DFT energy (no corrections) = -113.49 eV for the cell shown
E_form = 0.379 eV/f.u.

Structure (Quantum ESPRESSO input):
```
&SYSTEM
  ibrav = 0, nat = 12, ntyp = 2
/
ATOMIC_SPECIES
Fe 55.84 Fe.upf
Mo 95.94 Mo.upf
ATOMIC_POSITIONS angstrom
Fe 1.3146 8.5578 3.9103
Fe 1.3146 4.7514 3.9103
Fe 1.3146 1.9032 1.6546
Fe 1.3146 11.4060 1.6546
Fe 0.0000 0.0000 2.4186
Fe 0.0000 6.6546 0.1629
Mo 0.0000 2.4565 3.8425
Mo 0.0000 10.8527 3.8425
Mo 0.0000 9.1111 1.5868
Mo 0.0000 4.1981 1.5868
Mo 1.3146 0.0000 0.1123
Mo 1.3146 6.6546 2.3680
CELL_PARAMETERS angstrom
2.6292 0.0000 0.0000
0.0000 13.3092 0.0000
0.0000 0.0000 4.5114
```

The following is a DFT calculation (PBE-GGA) of crystalline LiSiH at its relaxed geometry. Values from VASP.

Output
Total DFT energy (no corrections) = -22.08 eV for the cell shown

Structure (Quantum ESPRESSO input):
```
&SYSTEM
  ibrav = 0, nat = 6, ntyp = 3
/
ATOMIC_SPECIES
Li 6.94 Li.upf
Si 28.09 Si.upf
H 1.01 H.upf
ATOMIC_POSITIONS angstrom
Li -1.3346 0.9376 3.8899
Li 3.6292 2.8127 0.9830
Si 1.2309 0.9376 1.6709
Si 1.0636 2.8127 3.2020
H 2.7939 0.9376 1.6194
H -0.4993 2.8127 3.2535
CELL_PARAMETERS angstrom
4.3011 0.0000 -0.0010
0.0000 3.7503 0.0000
-2.0065 0.0000 4.8739
```

The following is a DFT calculation (PBE-GGA) of crystalline SrCrPS2 at its relaxed geometry. Values from VASP.

Output
Total DFT energy (no corrections) = -20.59 eV for the cell shown
Uncorrected formation energy = 0.8751 eV/atom

Structure (Quantum ESPRESSO input):
```
&SYSTEM
  ibrav = 0, nat = 5, ntyp = 4
/
ATOMIC_SPECIES
Sr 87.62 Sr.upf
S 32.06 S.upf
P 30.97 P.upf
Cr 52.00 Cr.upf
ATOMIC_POSITIONS angstrom
Sr 0.0000 0.0000 0.0000
S 0.0000 2.7491 0.0000
S 2.7491 0.0000 0.0000
P 0.0000 0.0000 2.7928
Cr 2.7491 2.7491 2.7928
CELL_PARAMETERS angstrom
5.4983 0.0000 0.0000
0.0000 5.4983 0.0000
0.0000 0.0000 5.5856
```

The following is a DFT calculation (PBE-GGA) of crystalline Hf2ThIr at its relaxed geometry. Values from VASP.

Output
Total DFT energy (no corrections) = -37.81 eV for the cell shown
E_form = -1.627 eV/f.u.

Structure (Quantum ESPRESSO input):
```
&SYSTEM
  ibrav = 0, nat = 4, ntyp = 3
/
ATOMIC_SPECIES
Ir 192.22 Ir.upf
Hf 178.49 Hf.upf
Th 232.04 Th.upf
ATOMIC_POSITIONS angstrom
Ir -1.9172 -1.3696 0.3811
Hf 3.2938 -5.0637 -1.6281
Hf 0.8108 -1.2464 -0.4007
Th 0.1351 -4.5247 -0.6333
CELL_PARAMETERS angstrom
-1.2523 -1.6679 2.6539
-2.5821 -1.0713 -1.8917
4.1045 -6.3101 -2.0288
```

The following is a DFT calculation (PBE-GGA) of crystalline ScRh2Se at its relaxed geometry. Values from VASP.

Output
Total DFT energy (no corrections) = -26.64 eV for the cell shown
Uncorrected formation energy = -0.5298 eV/atom

Structure (Quantum ESPRESSO input):
```
&SYSTEM
  ibrav = 0, nat = 4, ntyp = 3
/
ATOMIC_SPECIES
Rh 102.91 Rh.upf
Sc 44.96 Sc.upf
Se 78.96 Se.upf
ATOMIC_POSITIONS angstrom
Rh -5.2159 -2.6453 0.3494
Rh -2.6563 -1.3471 0.1779
Sc -2.0060 0.4451 -1.8650
Se -4.6301 -0.8857 -1.6892
CELL_PARAMETERS angstrom
-1.5096 2.8907 -0.6508
0.1216 -0.6696 -3.2550
-5.2481 -2.6616 0.3515
```

The following is a DFT calculation (PBE-GGA) of crystalline CaTi3Ru at its relaxed geometry. Values from VASP.

Output
Total DFT energy (no corrections) = -33.74 eV for the cell shown
E_form = 1.223 eV/f.u.

Structure (Quantum ESPRESSO input):
```
&SYSTEM
  ibrav = 0, nat = 5, ntyp = 3
/
ATOMIC_SPECIES
Ru 101.07 Ru.upf
Ca 40.08 Ca.upf
Ti 47.87 Ti.upf
ATOMIC_POSITIONS angstrom
Ru 0.0000 0.0000 0.0000
Ca 2.4064 2.4064 2.4064
Ti 0.0000 2.4064 0.0000
Ti 0.0000 0.0000 2.4064
Ti 2.4064 0.0000 0.0000
CELL_PARAMETERS angstrom
4.8128 0.0000 0.0000
0.0000 4.8128 0.0000
0.0000 0.0000 4.8128
```

Number 1: volume 29.2 Å³/atom. Number 2: volume 27.8 Å³/atom. Number 3: volume 36.3 Å³/atom. Number 4: volume 18.3 Å³/atom. Number 5: volume 27.0 Å³/atom. Number 6: volume 30.3 Å³/atom. Number 7: volume 25.3 Å³/atom. Number 8: volume 16.8 Å³/atom. Number 9: volume 17.4 Å³/atom. Number 10: volume 36.7 Å³/atom. Number 11: volume 17.3 Å³/atom. Number 12: volume 20.1 Å³/atom. Number 13: volume 28.4 Å³/atom. Number 14: volume 13.2 Å³/atom. Number 15: volume 13.1 Å³/atom. Number 16: volume 33.8 Å³/atom. Number 17: volume 22.2 Å³/atom. Number 18: volume 16.3 Å³/atom. Number 19: volume 22.3 Å³/atom.